[1]
The following is a PBE-GGA calculation of Ba2GePb after structural relaxation, from Alexandria.

Unit cell a=3.8259 b=9.7044 c=7.6304 alpha=90.00 beta=90.00 gamma=90.00
Element x y z (fractional)
1 Ge 0.0000 0.0000 0.8340
2 Ge 0.0000 0.5000 0.3340
3 Ba 0.5000 0.7829 0.5303
4 Ba 0.5000 0.2171 0.5303
5 Ba 0.5000 0.7171 0.0303
6 Ba 0.5000 0.2829 0.0303
7 Pb 0.0000 0.0000 0.2135
8 Pb 0.0000 0.5000 0.7135

Calculated values
spin magnetization	0.00	μB per formula unit
theoretical density	6.5	g cm⁻³
ΔE_f	-0.4696	eV/atom
polymorph energy (0 for the lowest one)	96	meV per atom

[2]
The following is a PBE-GGA calculation of PdPt6Rh after structural relaxation, from Alexandria.

Unit cell a=3.9544 b=3.9544 c=7.9015 alpha=90.00 beta=90.00 gamma=90.00
Each line ends with the local moment (μB).
Element x y z (fractional)
1 Pd 0.0000 0.0000 0.0000  0.17
2 Pt 0.0000 0.5000 0.2526  0.23
3 Pt 0.0000 0.5000 0.7474  0.23
4 Pt 0.5000 0.5000 0.0000  0.24
5 Pt 0.5000 0.0000 0.2526  0.23
6 Pt 0.5000 0.5000 0.5000  0.20
7 Pt 0.5000 0.0000 0.7474  0.23
8 Rh 0.0000 0.0000 0.5000  0.55

Calculated values
spin magnetization	2.05	μB per formula unit
theoretical density	18.5	g cm⁻³
ΔE_f	-0.0276	eV/atom